Here is crystalline Cu3Rh at its relaxed geometry from Alexandria via LeMat-Bulk. Energies are from PBEsol.

Computed properties:
ΔE_f (kJ per mole of atoms): 8
DOS at the Fermi energy (states/eV/f.u.): 2.7
Symmetry: Immm
Total magnetization (μB/f.u.): 0.0

Unit cell a=2.817 b=4.139 c=4.806 alpha=115.51 beta=107.04 gamma=90.00
Fractional coordinates of all 4 atoms:
Rh1 0.000 0.500 0.000
Cu1 0.241 0.241 0.482
Cu2 0.759 0.759 0.518
Cu3 0.500 0.000 0.000


Here is crystalline Cu2Rh at its relaxed geometry from Alexandria via LeMat-Bulk. Energies are from PBEsol.

Computed properties:
ΔE_f (kJ per mole of atoms): 9
Offset from the most stable computed form (meV per atom): 45
DOS at the Fermi energy (states/eV/f.u.): 3.5
Symmetry: Cmcm
Total magnetization (μB/f.u.): 0.0

Unit cell a=4.251 b=4.407 c=4.485 alpha=119.43 beta=90.00 gamma=90.00
Fractional coordinates of all 6 atoms:
Cu1 0.750 0.170 0.663
Cu2 0.250 0.830 0.337
Cu3 0.750 0.506 0.337
Cu4 0.250 0.494 0.663
Rh1 0.750 0.836 0.000
Rh2 0.250 0.164 0.000


Here is crystalline Cu3Rh at its relaxed geometry from Alexandria via LeMat-Bulk. Energies are from PBEsol.

Computed properties:
ΔE_f (kJ per mole of atoms): 11
DOS at the Fermi energy (states/eV/f.u.): 2.5
Symmetry: Cmmm
Total magnetization (μB/f.u.): 0.0

Unit cell a=2.532 b=2.532 c=8.487 alpha=90.00 beta=90.00 gamma=116.75
Fractional coordinates of all 4 atoms:
Rh1 0.500 0.500 0.500
Cu1 0.000 0.000 0.242
Cu2 0.000 0.000 0.758
Cu3 0.500 0.500 0.000